Entry 1:
Rb2As2Pt | GGA-PBEsol | optimized geometry

Properties
**Final energy**: -21.54 eV/f.u.
**Calculated volume**: 29.77 Å³ per atom
**Energy of formation from the pure elements**: -223 kJ/mol of formula units
**Total moment**: 0.0 μB per cell

Lattice parameters (Å, degrees): 6.568 14.687 6.173 90.00 90.00 90.00
Space group Cmcm (No. 63)
Asymmetric unit:
Rb1 0.000 0.082 0.250 x4
Rb2 0.000 0.295 0.750 x4
As1 0.186 0.394 0.250 x8
Pt1 0.000 0.500 0.000 x4


Entry 2:
Zr2TlCu | GGA-PBEsol | optimized geometry

Properties
**Final energy**: -25.66 eV/f.u.
**Calculated volume**: 19.23 Å³ per atom
**Energy of formation from the pure elements**: -50 kJ/mol of formula units
**Total moment**: 0.0 μB per cell

Lattice parameters (Å, degrees): 3.118 3.118 7.915 90.00 90.00 90.00
Space group P4/mmm (No. 123)
Asymmetric unit:
Zr1 0.000 0.000 0.220 x2
Tl1 0.500 0.500 0.500 x1
Cu1 0.500 0.500 0.000 x1


Entry 3:
ReRu3 | GGA-PBEsol | optimized geometry

Properties
**Final energy**: -43.83 eV/f.u.
**E above lowest polymorph**: 70 meV/atom
**Calculated volume**: 13.63 Å³ per atom
**Energy of formation from the pure elements**: 2 kJ/mol of formula units
**Total moment**: 0.0 μB per cell

Lattice parameters (Å, degrees): 5.398 13.008 4.660 90.00 90.00 90.00
Space group Pmmn (No. 59, origin choice 2)
Asymmetric unit:
Re1 0.250 0.088 0.169 x4
Re2 0.250 0.750 0.498 x2
Ru1 0.001 0.586 0.335 x8
Ru2 0.001 0.750 0.998 x4
Ru3 0.250 0.250 0.503 x2
Ru4 0.250 0.586 0.834 x4


Entry 4:
Ta3GaP | GGA-PBEsol | optimized geometry

Properties
**Final energy**: -44.49 eV/f.u.
**Calculated volume**: 18.81 Å³ per atom
**Energy of formation from the pure elements**: 221 kJ/mol of formula units
**Total moment**: 0.0 μB per cell

Lattice parameters (Å, degrees): 4.548 4.548 4.548 90.00 90.00 90.00
Space group Pm-3m (No. 221)
Asymmetric unit:
Ta1 0.000 0.000 0.500 x3
Ga1 0.500 0.500 0.500 x1
P1 0.000 0.000 0.000 x1


Entry 5:
SrLa4W | GGA-PBEsol | optimized geometry

Properties
**Final energy**: -31.37 eV/f.u.
**Calculated volume**: 30.05 Å³ per atom
**Energy of formation from the pure elements**: 546 kJ/mol of formula units
**Total moment**: 5.2 μB per cell

Lattice parameters (Å, degrees): 8.968 8.968 8.968 90.00 90.00 90.00
Space group F-43m (No. 216)
Asymmetric unit:
Sr1 0.000 0.000 0.000 x4
La1 0.122 0.122 0.622 x16
W1 0.250 0.250 0.250 x4


Entry 6:
SrTa2Br | GGA-PBEsol | optimized geometry

Properties
**Final energy**: -26.25 eV/f.u.
**E above lowest polymorph**: 576 meV/atom
**Calculated volume**: 24.08 Å³ per atom
**Total moment**: 0.0 μB per cell

Lattice parameters (Å, degrees): 3.943 3.943 6.197 90.00 90.00 90.00
Space group P4/mmm (No. 123)
Asymmetric unit:
Sr1 0.000 0.000 0.000 x1
Ta1 0.000 0.500 0.500 x2
Br1 0.500 0.500 0.000 x1


Entry 7:
PmDy3 | GGA-PBEsol | optimized geometry

Properties
**Final energy**: -20.02 eV/f.u.
**E above lowest polymorph**: 0 meV/atom
**Calculated volume**: 30.08 Å³ per atom
**Energy of formation from the pure elements**: 5 kJ/mol of formula units
**Total moment**: 0.0 μB per cell

Lattice parameters (Å, degrees): 4.937 4.937 4.937 90.00 90.00 90.00
Space group Pm-3m (No. 221)
Asymmetric unit:
Pm1 0.000 0.000 0.000 x1
Dy1 0.000 0.500 0.500 x3


Entry 8:
Be2SiIr | GGA-PBEsol | optimized geometry

Properties
**Final energy**: -23.45 eV/f.u.
**Calculated volume**: 11.73 Å³ per atom
**Total moment**: 0.0 μB per cell

Lattice parameters (Å, degrees): 2.7039 2.7039 22.2334 90.00 90.00 120.00
Space group R3m (No. 160, hexagonal axes)
Asymmetric unit:
Be1 0.0000 0.0000 0.0000 x3
Be2 0.0000 0.0000 0.2528 x3
Si1 0.0000 0.0000 0.5037 x3
Ir1 0.0000 0.0000 0.7497 x3


Entry 9:
Mg5Tl | GGA-PBEsol | optimized geometry

Properties
**Final energy**: -11.44 eV/f.u.
**E above lowest polymorph**: 3 meV/atom
**Calculated volume**: 22.70 Å³ per atom
**Energy of formation from the pure elements**: -22 kJ/mol of formula units
**Total moment**: 0.0 μB per cell

Lattice parameters (Å, degrees): 5.5721 5.5721 5.0656 90.00 90.00 120.00
Space group P-62m (No. 189)
Asymmetric unit:
Mg1 0.0000 0.3328 0.0000 x3
Mg2 0.3333 0.6667 0.5000 x2
Tl1 0.0000 0.0000 0.5000 x1


Entry 10:
BiW2O8 | GGA-PBEsol | optimized geometry

Properties
**Final energy**: -93.19 eV/f.u.
**Calculated volume**: 13.51 Å³ per atom
**Total moment**: 0.0 μB per cell

Lattice parameters (Å, degrees): 5.037 5.914 11.057 90.00 115.54 90.00
Space group P2/c (No. 13)
Asymmetric unit:
Bi1 0.000 0.175 0.250 x2
W1 0.221 0.326 0.984 x4
O1 0.158 0.411 0.610 x4
O2 0.225 0.141 0.117 x4
O3 0.254 0.118 0.873 x4
O4 0.344 0.397 0.408 x4


Entry 11:
TiWBr2 | GGA-PBEsol | optimized geometry

Properties
**Final energy**: -23.79 eV/f.u.
**Calculated volume**: 18.52 Å³ per atom
**Total moment**: 0.0 μB per cell

Lattice parameters (Å, degrees): 3.0968 3.0968 26.7646 90.00 90.00 120.00
Space group R-3m (No. 166, hexagonal axes)
Asymmetric unit:
Ti1 0.0000 0.0000 0.0000 x3
W1 0.0000 0.0000 0.5000 x3
Br1 0.0000 0.0000 0.0946 x6


Entry 12:
AcCdAg2 | GGA-PBEsol | optimized geometry

Properties
**Final energy**: -13.11 eV/f.u.
**Calculated volume**: 23.97 Å³ per atom
**Energy of formation from the pure elements**: -76 kJ/mol of formula units
**Total moment**: 0.0 μB per cell

Lattice parameters (Å, degrees): 7.265 7.265 7.265 90.00 90.00 90.00
Space group Fm-3m (No. 225)
Asymmetric unit:
Ac1 0.000 0.000 0.000 x4
Cd1 0.000 0.000 0.500 x4
Ag1 0.250 0.250 0.250 x8


Entry 13:
LaTeW3 | GGA-PBEsol | optimized geometry

Properties
**Final energy**: -40.80 eV/f.u.
**Calculated volume**: 23.95 Å³ per atom
**Total moment**: 0.0 μB per cell

Lattice parameters (Å, degrees): 4.929 4.929 4.929 90.00 90.00 90.00
Space group Pm-3m (No. 221)
Asymmetric unit:
La1 0.000 0.000 0.000 x1
Te1 0.500 0.500 0.500 x1
W1 0.000 0.500 0.500 x3


Entry 14:
TcIrPt2O | GGA-PBEsol | optimized geometry

Properties
**Final energy**: -29.60 eV/f.u.
**Calculated volume**: 20.38 Å³ per atom
**Total moment**: 1.6 μB per cell

Lattice parameters (Å, degrees): 4.706 4.706 4.601 90.00 90.00 90.00
Space group P4/mmm (No. 123)
Asymmetric unit:
Tc1 0.000 0.000 0.000 x1
Ir1 0.000 0.000 0.500 x1
Pt1 0.000 0.500 0.000 x2
O1 0.500 0.500 0.500 x1


Entry 15:
K2IrPt | GGA-PBEsol | optimized geometry

Properties
**Final energy**: -17.57 eV/f.u.
**E above lowest polymorph**: 0 meV/atom
**Calculated volume**: 30.11 Å³ per atom
**Energy of formation from the pure elements**: 143 kJ/mol of formula units
**Total moment**: 0.0 μB per cell

Lattice parameters (Å, degrees): 3.506 3.506 9.802 90.00 90.00 90.00
Space group P4mm (No. 99)
Asymmetric unit:
K1 0.000 0.000 0.000 x1
K2 0.500 0.500 0.442 x1
Ir1 0.500 0.500 0.749 x1
Pt1 0.000 0.000 0.689 x1


Entry 16:
MgSe3N | GGA-PBEsol | optimized geometry

Properties
**Final energy**: -15.40 eV/f.u.
**Calculated volume**: 24.77 Å³ per atom
**Total moment**: 2.1 μB per cell

Lattice parameters (Å, degrees): 4.985 4.985 4.985 90.00 90.00 90.00
Space group Pm-3m (No. 221)
Asymmetric unit:
Mg1 0.000 0.000 0.000 x1
Se1 0.000 0.000 0.500 x3
N1 0.500 0.500 0.500 x1


Entry 17:
Co2MoRu | GGA-PBEsol | optimized geometry

Properties
**Final energy**: -37.36 eV/f.u.
**E above lowest polymorph**: 34 meV/atom
**Calculated volume**: 12.02 Å³ per atom
**Energy of formation from the pure elements**: 5 kJ/mol of formula units
**Total moment**: 0.0 μB per cell

Lattice parameters (Å, degrees): 3.628 3.628 7.307 90.00 90.00 90.00
Space group I4/mmm (No. 139)
Asymmetric unit:
Co1 0.000 0.500 0.250 x4
Mo1 0.000 0.000 0.000 x2
Ru1 0.000 0.000 0.500 x2


Entry 18:
Tl2InCoPd | GGA-PBEsol | optimized geometry

Properties
**Final energy**: -15.75 eV/f.u.
**Calculated volume**: 29.44 Å³ per atom
**Energy of formation from the pure elements**: 598 kJ/mol of formula units
**Total moment**: 2.2 μB per cell

Lattice parameters (Å, degrees): 5.465 5.465 4.928 90.00 90.00 90.00
Space group P4/mmm (No. 123)
Asymmetric unit:
Tl1 0.000 0.500 0.000 x2
In1 0.000 0.000 0.000 x1
Co1 0.500 0.500 0.500 x1
Pd1 0.000 0.000 0.500 x1


Entry 19:
Sc2TcC2 | GGA-PBEsol | optimized geometry

Properties
**Final energy**: -45.96 eV/f.u.
**E above lowest polymorph**: 0 meV/atom
**Calculated volume**: 11.33 Å³ per atom
**Energy of formation from the pure elements**: -212 kJ/mol of formula units
**Total moment**: 0.0 μB per cell

Lattice parameters (Å, degrees): 5.826 5.826 3.337 90.00 90.00 90.00
Space group P4/mbm (No. 127)
Asymmetric unit:
Sc1 0.185 0.315 0.000 x4
Tc1 0.000 0.000 0.500 x2
C1 0.096 0.596 0.500 x4


Entry 20:
Ga2MoRhAu | GGA-PBEsol | optimized geometry

Properties
**Final energy**: -26.20 eV/f.u.
**Calculated volume**: 20.58 Å³ per atom
**Energy of formation from the pure elements**: 416 kJ/mol of formula units
**Total moment**: 3.7 μB per cell

Lattice parameters (Å, degrees): 4.506 4.506 5.067 90.00 90.00 90.00
Space group P4/mmm (No. 123)
Asymmetric unit:
Ga1 0.000 0.500 0.000 x2
Mo1 0.000 0.000 0.500 x1
Rh1 0.500 0.500 0.000 x1
Au1 0.500 0.500 0.500 x1